*i*
The following is a DFT calculation (PBE-GGA) of an optimized crystal structure of TlI2Cl.

The calculation puts the volume at 37.23 Å³/atom. The symmetry is I-42d.

POSCAR file:
```
TlI2Cl
1.0
8.496 0.000 0.000
0.000 8.496 0.000
0.000 0.000 8.253
Tl I Cl
4 8 4
Cartesian
0.000 0.000 0.000
0.000 4.248 2.063
4.248 0.000 6.190
4.248 4.248 4.126
1.834 2.124 1.032
2.124 6.082 3.095
2.124 6.662 7.221
2.414 2.124 5.158
6.082 6.372 5.158
6.372 1.834 7.221
6.372 2.414 3.095
6.662 6.372 1.032
0.000 0.000 4.126
0.000 4.248 6.190
4.248 0.000 2.063
4.248 4.248 0.000
```

---

*ii*
The following is a DFT calculation (PBE-GGA) of an optimized crystal structure of TlI2Cl.

The calculation puts the volume at 45.40 Å³/atom. The symmetry is Pnna.

POSCAR file:
```
TlI2Cl
1.0
6.933 0.000 0.000
0.000 6.364 0.000
0.000 0.000 16.464
Tl I Cl
4 8 4
Cartesian
1.733 0.000 2.458
1.733 3.182 5.774
5.200 0.000 14.006
5.200 3.182 10.690
0.166 1.508 9.650
0.166 1.674 15.046
3.300 4.690 15.046
3.300 4.856 9.650
3.633 1.508 6.814
3.633 1.674 1.418
6.767 4.690 1.418
6.767 4.856 6.814
0.379 1.591 4.116
3.087 4.773 4.116
3.846 1.591 12.348
6.554 4.773 12.348
```

---

*iii*
The following is a DFT calculation (PBE-GGA) of an optimized crystal structure of TlI2Cl.

The calculation puts the volume at 33.12 Å³/atom. The symmetry is Fm-3m.

POSCAR file:
```
TlI2Cl
1.0
8.092 0.000 0.000
0.000 8.092 0.000
0.000 0.000 8.092
Tl I Cl
4 8 4
Cartesian
0.000 0.000 0.000
0.000 4.046 4.046
4.046 0.000 4.046
4.046 4.046 0.000
2.023 2.023 2.023
2.023 2.023 6.069
2.023 6.069 2.023
2.023 6.069 6.069
6.069 2.023 2.023
6.069 2.023 6.069
6.069 6.069 2.023
6.069 6.069 6.069
0.000 0.000 4.046
0.000 4.046 0.000
4.046 0.000 0.000
4.046 4.046 4.046
```

---

It comes down to *ii*, which is 264 meV per atom more stable than the next structure.

---

*i*
The following is a DFT calculation (PBE-GGA) of an optimized crystal structure of Tl5I4Cl.

The calculation puts the volume at 42.74 Å³/atom. The symmetry is I4.

POSCAR file:
```
Tl5I4Cl
1.0
-5.507 5.507 3.524
5.507 -5.507 3.524
5.507 5.507 -3.524
Tl I Cl
5 4 1
Cartesian
0.000 0.000 0.000
4.459 2.390 -0.194
3.117 -1.048 3.330
2.390 6.555 -0.194
1.048 3.117 3.330
7.670 1.014 -0.193
1.014 3.344 -0.193
4.493 2.163 3.331
-2.163 4.493 3.331
0.000 0.000 3.123
```

---

*ii*
The following is a DFT calculation (PBE-GGA) of an optimized crystal structure of Tl5I4Cl.

The calculation puts the volume at 42.78 Å³/atom. The symmetry is I4/mmm.

POSCAR file:
```
Tl5I4Cl
1.0
-2.478 2.478 17.416
2.478 -2.478 17.416
2.478 2.478 -17.416
Tl I Cl
5 4 1
Cartesian
0.000 0.000 0.000
0.000 0.000 7.000
0.000 0.000 14.173
0.000 0.000 20.660
0.000 0.000 27.833
0.000 0.000 3.468
0.000 0.000 10.562
0.000 0.000 24.271
0.000 0.000 31.365
0.000 0.000 17.416
```

---

It comes down to *i*, which is 5 meV per atom more stable than the next structure.